Record 1
{
  "formula": "SrLi2As",
  "functional": "PBE-GGA",
  "state": "optimized geometry",
  "volume_a3_per_atom": 23.66,
  "spacegroup": "R3m (160)",
  "e_form_kj_per_mol_atoms": -65.2,
  "final_energy_ev_per_atom": -3.22,
  "total_magnetization_mub_per_atom": 0.214,
  "lattice_angstrom": [[2.217, 1.280, 5.559], [-2.217, 1.280, 5.559], [0.000, -2.560, 5.559]],
  "species": ["Sr", "Li", "Li", "As"],
  "frac_coords": [[0.000, 0.000, 0.000], [0.523, 0.523, 0.523], [0.811, 0.811, 0.811], [0.202, 0.202, 0.202]]
}

Record 2
{
  "formula": "Sr2LiAs2",
  "functional": "PBE-GGA",
  "state": "optimized geometry",
  "polymorph_energy_ev_per_atom": 0.000,
  "volume_a3_per_atom": 27.88,
  "spacegroup": "P4/mbm (127)",
  "e_form_kj_per_mol_atoms": -78.4,
  "final_energy_ev_per_atom": -3.73,
  "total_magnetization_mub_per_atom": 0.000,
  "lattice_angstrom": [[7.957, 0.000, 0.000], [0.000, 7.957, 0.000], [0.000, 0.000, 4.403]],
  "species": ["Sr", "Sr", "Sr", "Sr", "Li", "Li", "As", "As", "As", "As"],
  "frac_coords": [[0.156, 0.344, 0.000], [0.344, 0.844, 0.000], [0.656, 0.156, 0.000], [0.844, 0.656, 0.000], [0.000, 0.000, 0.500], [0.500, 0.500, 0.500], [0.147, 0.647, 0.500], [0.353, 0.147, 0.500], [0.647, 0.853, 0.500], [0.853, 0.353, 0.500]]
}

Record 3
{
  "formula": "SrLi2As",
  "functional": "PBE-GGA",
  "state": "optimized geometry",
  "volume_a3_per_atom": 23.13,
  "spacegroup": "I-4m2 (119)",
  "e_form_kj_per_mol_atoms": -43.7,
  "final_energy_ev_per_atom": -2.99,
  "total_magnetization_mub_per_atom": 0.000,
  "lattice_angstrom": [[-2.534, 2.534, 3.602], [2.534, -2.534, 3.602], [2.534, 2.534, -3.602]],
  "species": ["Sr", "Li", "Li", "As"],
  "frac_coords": [[0.000, 0.000, 0.000], [0.500, 0.500, 0.000], [0.750, 0.250, 0.500], [0.250, 0.750, 0.500]]
}

Record 4
{
  "formula": "SrLiAs4",
  "functional": "PBE-GGA",
  "state": "optimized geometry",
  "volume_a3_per_atom": 22.61,
  "spacegroup": "F-43m (216)",
  "e_form_kj_per_mol_atoms": -29.3,
  "final_energy_ev_per_atom": -4.00,
  "total_magnetization_mub_per_atom": 0.000,
  "lattice_angstrom": [[0.000, 4.078, 4.078], [4.078, 0.000, 4.078], [4.078, 4.078, 0.000]],
  "species": ["Sr", "Li", "As", "As", "As", "As"],
  "frac_coords": [[0.000, 0.000, 0.000], [0.250, 0.250, 0.250], [0.131, 0.623, 0.623], [0.623, 0.131, 0.623], [0.623, 0.623, 0.131], [0.623, 0.623, 0.623]]
}